Arrangement 1

Computed, not measured: a geometry-optimized NpV2Pt structure at the PBE-GGA level of DFT.

abc: 4.686 4.686 2.817
angles: 90.00 90.00 90.00
Space group P4/mmm (No. 123)
Symmetry-distinct sites (fractional):
1 Np 0.000 0.000 0.000
2 V 0.000 0.500 0.500
3 Pt 0.500 0.500 0.000

Arrangement 2

Computed, not measured: a geometry-optimized NpV2Pt structure at the PBE-GGA level of DFT.

abc: 3.215 3.215 6.031
angles: 90.00 90.00 90.00
Space group P4/mmm (No. 123)
Symmetry-distinct sites (fractional):
1 Np 0.000 0.000 0.000
2 V 0.500 0.500 0.235
3 Pt 0.000 0.000 0.500

Of them, the most stable is arrangement 1 and the least stable is arrangement 2.

Arrangement 1

Computed, not measured: a geometry-optimized YNp2Pt9 structure at the PBE-GGA level of DFT.

abc: 5.3840 5.3840 26.7501
angles: 90.00 90.00 120.00
Space group R-3m (No. 166, hexagonal axes)
Symmetry-distinct sites (fractional):
1 Y 0.0000 0.0000 0.0000
2 Np 0.0000 0.0000 0.1421
3 Pt 0.0000 0.0000 0.3328
4 Pt 0.0000 0.0000 0.5000
5 Pt 0.0036 0.5018 0.9147

Arrangement 2

Computed, not measured: a geometry-optimized YNp2Pt9 structure at the PBE-GGA level of DFT.

abc: 4.142 4.142 12.446
angles: 90.00 90.00 90.00
Space group P4/mmm (No. 123)
Symmetry-distinct sites (fractional):
1 Y 0.000 0.000 0.000
2 Np 0.000 0.000 0.332
3 Pt 0.000 0.500 0.168
4 Pt 0.000 0.500 0.500
5 Pt 0.500 0.500 0.000
6 Pt 0.500 0.500 0.333

Of them, the most stable is arrangement 2 and the least stable is arrangement 1.

Arrangement 1

Computed, not measured: a geometry-optimized Zr2NpPt structure at the PBE-GGA level of DFT.

abc: 6.861 6.861 6.861
angles: 90.00 90.00 90.00
Space group Fm-3m (No. 225)
Symmetry-distinct sites (fractional):
1 Zr 0.250 0.250 0.250
2 Np 0.000 0.000 0.000
3 Pt 0.000 0.000 0.500

Arrangement 2

Computed, not measured: a geometry-optimized Zr2NpPt structure at the PBE-GGA level of DFT.

abc: 3.320 3.320 7.635
angles: 90.00 90.00 90.00
Space group P4/mmm (No. 123)
Symmetry-distinct sites (fractional):
1 Zr 0.000 0.000 0.222
2 Np 0.500 0.500 0.500
3 Pt 0.500 0.500 0.000

Arrangement 3

Computed, not measured: a geometry-optimized Zr2NpPt structure at the PBE-GGA level of DFT.

abc: 5.063 5.063 3.113
angles: 90.00 90.00 90.00
Space group P4/mmm (No. 123)
Symmetry-distinct sites (fractional):
1 Zr 0.000 0.500 0.000
2 Np 0.000 0.000 0.500
3 Pt 0.500 0.500 0.500

Of them, the most stable is arrangement 2 and the least stable is arrangement 1.

Arrangement 1

Computed, not measured: a geometry-optimized Pu2NpRh structure at the PBE-GGA level of DFT.

abc: 5.036 5.036 3.073
angles: 90.00 90.00 90.00
Space group P4/mmm (No. 123)
Symmetry-distinct sites (fractional):
1 Pu 0.000 0.500 0.000
2 Np 0.000 0.000 0.500
3 Rh 0.500 0.500 0.500

Arrangement 2

Computed, not measured: a geometry-optimized Pu2NpRh structure at the PBE-GGA level of DFT.

abc: 4.9522 4.9522 10.6839
angles: 90.00 90.00 120.00
Space group R-3m (No. 166, hexagonal axes)
Symmetry-distinct sites (fractional):
1 Pu 0.0000 0.0000 0.2383
2 Np 0.0000 0.0000 0.0000
3 Rh 0.0000 0.0000 0.5000

Of them, the most stable is arrangement 1 and the least stable is arrangement 2.

Arrangement 1

Computed, not measured: a geometry-optimized PuNpRh2 structure at the PBE-GGA level of DFT.

abc: 3.402 3.402 6.895
angles: 90.00 90.00 90.00
Space group P4/mmm (No. 123)
Symmetry-distinct sites (fractional):
1 Pu 0.000 0.000 0.000
2 Np 0.000 0.000 0.500
3 Rh 0.500 0.500 0.265

Arrangement 2

Computed, not measured: a geometry-optimized PuNpRh2 structure at the PBE-GGA level of DFT.

abc: 6.753 6.773 8.408
angles: 90.00 90.00 90.00
Space group Pmma (No. 51)
Symmetry-distinct sites (fractional):
1 Pu 0.250 0.000 0.234
2 Pu 0.250 0.500 0.256
3 Np 0.250 0.000 0.721
4 Np 0.250 0.500 0.699
5 Rh 0.000 0.000 0.500
6 Rh 0.000 0.500 0.000
7 Rh 0.250 0.209 0.950

Arrangement 3

Computed, not measured: a geometry-optimized PuNpRh2 structure at the PBE-GGA level of DFT.

abc: 2.8806 2.8806 30.0392
angles: 90.00 90.00 120.00
Space group R-3m (No. 166, hexagonal axes)
Symmetry-distinct sites (fractional):
1 Pu 0.0000 0.0000 0.0000
2 Np 0.0000 0.0000 0.5000
3 Rh 0.0000 0.0000 0.2496

Of them, the most stable is arrangement 1 and the least stable is arrangement 2.

Arrangement 1

Computed, not measured: a geometry-optimized PuNpRh structure at the PBE-GGA level of DFT.

abc: 7.948 5.827 6.288
angles: 90.00 128.77 90.00
Space group Cc (No. 9)
Symmetry-distinct sites (fractional):
1 Pu 0.000 0.169 0.000
2 Np 0.164 0.328 0.449
3 Rh 0.334 0.169 0.966

Arrangement 2

Computed, not measured: a geometry-optimized PuNpRh structure at the PBE-GGA level of DFT.

abc: 3.484 3.484 9.746
angles: 90.00 90.00 90.00
Space group I4mm (No. 107)
Symmetry-distinct sites (fractional):
1 Pu 0.000 0.000 0.000
2 Np 0.000 0.000 0.674
3 Rh 0.000 0.000 0.328

Arrangement 3

Computed, not measured: a geometry-optimized PuNpRh structure at the PBE-GGA level of DFT.

abc: 4.6957 4.6957 2.8592
angles: 90.00 90.00 120.00
Space group P3m1 (No. 156)
Symmetry-distinct sites (fractional):
1 Pu 0.0000 0.0000 0.0000
2 Np 0.6667 0.3333 0.7868
3 Rh 0.3333 0.6667 0.4042

Of them, the most stable is arrangement 1 and the least stable is arrangement 2.